Record 1
A relaxed structure of Cr2ReNi. Source: the Alexandria database, functional PBE.

POSCAR file:
```
Cr2ReNi
1.0
4.431 -0.001 -0.001
1.304 4.235 0.001
-2.866 -2.119 2.633
Ni Cr Re
1 2 1
Cartesian
2.216 -0.002 1.316
2.868 2.117 0.000
0.000 0.000 0.000
0.653 2.117 1.317
```

Output
Calculated volume (Å³/atom): 12.35

***

Record 2
A relaxed structure of Ni2AsW. Source: the Alexandria database, functional PBE.

POSCAR file:
```
Ni2AsW
1.0
-1.034 3.483 -0.183
-1.891 -0.720 -3.023
-8.469 -0.446 3.216
As Ni W
2 4 2
Cartesian
-1.463 1.381 -1.603
-5.911 0.107 -0.705
-8.897 2.088 -0.370
-3.436 -0.100 -1.109
-2.992 1.949 0.314
-7.463 0.696 1.187
0.000 0.000 0.000
-5.483 2.209 0.716
```

Output
Calculated volume (Å³/atom): 14.39

***

Record 3
A relaxed structure of Zn6InPd12. Source: the Alexandria database, functional PBE.

POSCAR file:
```
Zn6InPd12
1.0
-3.507 5.806 1.963
1.739 -3.237 6.030
6.104 2.340 -2.669
Pd Zn In
12 6 1
Cartesian
0.207 1.887 3.934
1.785 3.909 0.784
4.129 3.023 1.390
3.687 0.635 2.254
5.343 0.005 4.564
0.376 -0.884 4.972
-0.632 4.019 5.730
0.649 4.275 3.070
2.551 1.001 4.540
-1.007 4.905 0.760
4.969 0.891 -0.406
3.960 5.794 0.352
1.196 -0.128 2.573
4.634 2.468 3.905
1.902 3.450 5.224
-0.297 2.442 1.419
3.140 5.038 2.751
2.435 1.460 0.100
0.000 0.000 0.000
```

Output
Calculated volume (Å³/atom): 16.14

***

| no. | DOS(E_F) (states/eV per cell) | DFT total energy (eV per atom) | energy of formation from the pure elements (eV per formula unit) |
| --- | --- | --- | --- |
| 1 | 4.1 | -9.294 | 0.30 |
| 2 | 9.2 | -6.861 | 1.72 |
| 3 | 9.2 | -4.055 | -4.35 |